A plane-wave DFT calculation with PBE was carried out for a geometry-optimized CeNd6Sm5 structure.

```
CeNd6Sm5
1.0
8.1534 -5.1583 0.0000
8.1534 5.1583 0.0000
-1.6315 0.0000 4.8980
Ce Nd Sm
1 6 5
direct
0.0000 0.0000 0.0000
0.0834 0.5860 0.8347
0.2474 0.7526 0.5000
0.4140 0.9166 0.1653
0.5860 0.0834 0.8347
0.7526 0.2474 0.5000
0.9166 0.4140 0.1653
0.1649 0.1649 0.6648
0.3327 0.3327 0.3326
0.5000 0.5000 0.0000
0.6673 0.6673 0.6674
0.8351 0.8351 0.3352
```

Calculated values
Energy relative to the elements in eV/atom: 0.036
VASP energy in eV/cell: -57.705
Space-group type: C2/m

A plane-wave DFT calculation with PBE was carried out for a geometry-optimized Ce2NdSm structure.

```
Ce2NdSm
1.0
4.9572 0.0000 0.0000
0.0000 4.9572 0.0000
0.0000 0.0000 5.1452
Ce Nd Sm
2 1 1
direct
0.0000 0.5000 0.0000
0.5000 0.0000 0.0000
0.0000 0.0000 0.5000
0.5000 0.5000 0.5000
```

Calculated values
Energy above the most stable polymorph in this dataset in meV per atom: 4.6
Energy relative to the elements in eV/atom: 0.119
VASP energy in eV/cell: -20.879
Space-group type: P4/mmm

A plane-wave DFT calculation with PBE was carried out for a geometry-optimized CeNdSm6 structure.

```
CeNdSm6
1.0
5.1214 0.0000 0.0000
0.0000 5.1214 0.0000
0.0000 0.0000 10.2383
Ce Nd Sm
1 1 6
direct
0.0000 0.0000 0.0000
0.0000 0.0000 0.5000
0.0000 0.5000 0.2462
0.0000 0.5000 0.7538
0.5000 0.0000 0.2462
0.5000 0.0000 0.7538
0.5000 0.5000 0.0000
0.5000 0.5000 0.5000
```

Calculated values
Energy above the most stable polymorph in this dataset in meV per atom: 0.0
Energy relative to the elements in eV/atom: 0.045
VASP energy in eV/cell: -38.655
Space-group type: P4/mmm

A plane-wave DFT calculation with PBE was carried out for a geometry-optimized CeNdSm2 structure.

```
CeNdSm2
1.0
3.5774 0.0000 0.0000
0.0000 3.5774 0.0000
0.0000 0.0000 10.2784
Ce Nd Sm
1 1 2
direct
0.0000 0.0000 0.0000
0.0000 0.0000 0.5000
0.5000 0.5000 0.2382
0.5000 0.5000 0.7618
```

Calculated values
Energy above the most stable polymorph in this dataset in meV per atom: 0.0
Energy relative to the elements in eV/atom: 0.062
VASP energy in eV/cell: -19.891
Space-group type: P4/mmm

A plane-wave DFT calculation with PBE was carried out for a geometry-optimized Ce2NdSm structure.

```
Ce2NdSm
1.0
0.0000 4.0468 4.0468
4.0468 0.0000 4.0468
4.0468 4.0468 0.0000
Ce Nd Sm
2 1 1
direct
0.2500 0.2500 0.2500
0.7500 0.7500 0.7500
0.0000 0.0000 0.0000
0.5000 0.5000 0.5000
```

Calculated values
Energy above the most stable polymorph in this dataset in meV per atom: 158.4
Energy relative to the elements in eV/atom: 0.273
VASP energy in eV/cell: -20.264
Space-group type: Fm-3m

A plane-wave DFT calculation with PBE was carried out for a geometry-optimized CeNd10Sm6 structure.

```
CeNd10Sm6
1.0
9.9217 0.0000 0.0000
-4.9609 8.5925 0.0000
0.0000 0.0000 6.9940
Ce Nd Sm
1 10 6
direct
0.0000 0.0000 0.0000
0.0000 0.2695 0.3111
0.0000 0.7305 0.6889
0.2695 0.0000 0.3111
0.2695 0.2695 0.6889
0.3333 0.6667 0.0000
0.3333 0.6667 0.5000
0.6667 0.3333 0.0000
0.6667 0.3333 0.5000
0.7305 0.0000 0.6889
0.7305 0.7305 0.3111
0.0000 0.3758 0.8002
0.0000 0.6242 0.1998
0.3758 0.0000 0.8002
0.3758 0.3758 0.1998
0.6242 0.0000 0.1998
0.6242 0.6242 0.8002
```

Calculated values
Energy relative to the elements in eV/atom: 0.145
VASP energy in eV/cell: -79.468
Space-group type: P-31m

A plane-wave DFT calculation with PBE was carried out for a geometry-optimized CeNd8Sm4 structure.

```
CeNd8Sm4
1.0
5.9519 3.4363 3.8758
-5.9519 3.4363 3.8758
0.0000 -6.8726 3.8758
Ce Nd Sm
1 8 4
direct
0.0000 0.0000 0.0000
0.1694 0.6675 0.6675
0.2532 0.2532 0.2532
0.3325 0.3325 0.8306
0.3325 0.8306 0.3325
0.6675 0.1694 0.6675
0.6675 0.6675 0.1694
0.7468 0.7468 0.7468
0.8306 0.3325 0.3325
0.0000 0.0000 0.5000
0.0000 0.5000 0.0000
0.5000 0.0000 0.0000
0.5000 0.5000 0.5000
```

Calculated values
Energy relative to the elements in eV/atom: 0.411
VASP energy in eV/cell: -57.612
Space-group type: R-3m

A plane-wave DFT calculation with PBE was carried out for a geometry-optimized Ce2NdSm structure.

```
Ce2NdSm
1.0
1.7107 0.9877 12.4063
-1.7107 0.9877 12.4063
0.0000 -1.9754 12.4063
Ce Nd Sm
2 1 1
direct
0.0859 0.0859 0.0859
0.9141 0.9141 0.9141
0.5000 0.5000 0.5000
0.0000 0.0000 0.0000
```

Calculated values
Energy above the most stable polymorph in this dataset in meV per atom: 132.1
Energy relative to the elements in eV/atom: 0.246
VASP energy in eV/cell: -20.369
Space-group type: R-3m